[1]
Compound: HoBiSb
Source: Alexandria
Functional: PBE
Structure: relaxed

Summary:
SG: I4mm (107)
Mass density in Mg/m³: 9.74
Energy in eV/atom: -4.74

Unit cell a=4.0370 b=4.0370 c=5.9181 alpha=109.94 beta=109.94 gamma=90.00
With the nearest neighbours (Å) after each atom.
Fractional coordinates of all 3 atoms:
1 Sb 0.6370 0.6370 0.2740  5 Bi 3.15-3.51, 4 Ho 3.18
2 Bi 0.9404 0.9404 0.8809  5 Sb 3.15-3.51, 5 Ho 3.34-3.44
3 Ho 0.2726 0.2726 0.5452  4 Sb 3.18, 5 Bi 3.34-3.44



[2]
Compound: HoBi2Sb
Source: Alexandria
Functional: PBE
Structure: relaxed

Summary:
SG: R-3m (166)
Mass density in Mg/m³: 8.61
Energy in eV/atom: -3.84

Unit cell a=3.8235 b=3.8235 c=10.9613 alpha=79.96 beta=79.96 gamma=60.00
With the nearest neighbours (Å) after each atom.
Fractional coordinates of all 4 atoms:
1 Sb 0.5000 0.5000 0.5000  6 Bi 3.14
2 Bi 0.0973 0.0973 0.7081  1 Ho 3.13, 3 Sb 3.14
3 Bi 0.9027 0.9027 0.2919  1 Ho 3.13, 3 Sb 3.14
4 Ho 0.0000 0.0000 0.0000  2 Bi 3.13



[3]
Compound: Ho4Bi2Sb
Source: Alexandria
Functional: PBE
Structure: relaxed

Summary:
SG: C2/c (15)
Mass density in Mg/m³: 8.98
Energy in eV/atom: -4.90

Unit cell a=8.3288 b=8.3287 c=8.3129 alpha=109.04 beta=108.92 gamma=110.53
With the nearest neighbours (Å) after each atom.
Fractional coordinates of all 14 atoms:
1 Ho 0.9407 0.2500 0.3083  1 Sb 3.04, 3 Bi 3.05-3.11
2 Ho 0.3097 0.5002 0.1919  1 Sb 3.04, 3 Bi 3.05-3.11
3 Ho 0.9416 0.6323 0.6917  1 Sb 3.04, 3 Bi 3.05-3.11
4 Ho 0.7504 0.0599 0.6922  1 Sb 3.04, 3 Bi 3.05-3.11
5 Ho 0.3676 0.0582 0.3077  1 Sb 3.04, 3 Bi 3.05-3.11
6 Ho 0.3082 0.1177 0.8081  1 Sb 3.04, 3 Bi 3.05-3.11
7 Ho 0.4995 0.6905 0.8082  1 Sb 3.04, 3 Bi 3.05-3.11
8 Ho 0.8823 0.6913 0.1918  1 Sb 3.04, 3 Bi 3.05-3.11
9 Bi 0.6248 0.3750 0.7497  6 Ho 3.05-3.11
10 Bi 0.6253 0.8750 0.2503  6 Ho 3.05-3.11
11 Bi 0.6250 0.3748 0.2498  6 Ho 3.05-3.11
12 Bi 0.1250 0.3751 0.7502  6 Ho 3.05-3.11
13 Sb 0.2496 0.7496 0.5000  4 Ho 3.04
14 Sb 0.0003 0.0003 0.0000  4 Ho 3.04